Entry 1:
Here is ReNi28 after structural relaxation from OQMD via LeMat-Bulk. Energies are from PBE.

POSCAR file:
```
ReNi28
1.0
-4.2946 4.2946 4.2946
4.2946 -4.2946 4.2946
4.2946 4.2946 -4.2946
Ni Re
28 1
Direct
0.0000 0.3774 0.1905
0.0000 0.6533 0.0000
0.6863 0.0000 0.4093
0.3774 0.1905 0.0000
0.6533 0.0000 0.0000
0.4093 0.0000 0.6863
0.8131 0.6226 0.6226
0.0000 0.4093 0.6863
0.5907 0.2770 0.5907
0.3467 0.3467 0.3467
0.0000 0.6863 0.4093
0.8095 0.1869 0.8095
0.3774 0.0000 0.1905
0.1869 0.8095 0.8095
0.0000 0.0000 0.6533
0.7230 0.3137 0.3137
0.1905 0.3774 0.0000
0.6863 0.4093 0.0000
0.5907 0.5907 0.2770
0.3137 0.3137 0.7230
0.2770 0.5907 0.5907
0.4093 0.6863 0.0000
0.6226 0.6226 0.8131
0.0000 0.1905 0.3774
0.3137 0.7230 0.3137
0.6226 0.8131 0.6226
0.8095 0.8095 0.1869
0.1905 0.0000 0.3774
0.0000 0.0000 0.0000
```

Computed properties:
Space group ... I-43m, No. 217

***

Entry 2:
Here is ReNi2 after structural relaxation from OQMD via LeMat-Bulk. Energies are from PBE.

POSCAR file:
```
ReNi2
1.0
9.0635 0.0000 0.0000
0.0000 9.0635 0.0000
0.0000 0.0000 4.5900
Ni Re
20 10
Direct
0.5348 0.8719 0.0000
0.9652 0.3719 0.5000
0.1765 0.1765 0.7484
0.3235 0.6765 0.7516
0.0348 0.6281 0.5000
0.3235 0.6765 0.2484
0.3942 0.3942 0.0000
0.8235 0.8235 0.2516
0.6058 0.6058 0.0000
0.8235 0.8235 0.7484
0.8719 0.5348 0.0000
0.3719 0.9652 0.5000
0.6281 0.0348 0.5000
0.8942 0.1058 0.5000
0.1058 0.8942 0.5000
0.4652 0.1281 0.0000
0.6765 0.3235 0.2484
0.1281 0.4652 0.0000
0.6765 0.3235 0.7516
0.1765 0.1765 0.2516
0.0726 0.7349 0.0000
0.7349 0.0726 0.0000
0.2651 0.9274 0.0000
0.5726 0.7651 0.5000
0.5000 0.5000 0.5000
0.4274 0.2349 0.5000
0.9274 0.2651 0.0000
0.0000 0.0000 0.0000
0.2349 0.4274 0.5000
0.7651 0.5726 0.5000
```

Computed properties:
Relative energy among the computed polymorphs ... 103 meV per atom
Space group ... P4_2/mnm, No. 136

***

Entry 3:
Here is Re2Ni after structural relaxation from OQMD via LeMat-Bulk. Energies are from PBE.

POSCAR file:
```
Re2Ni
1.0
2.4672 -4.2447 0.0000
2.4672 4.2447 0.0000
0.0000 0.0000 7.8185
Ni Re
4 8
Direct
0.0000 0.0000 0.0000
0.8467 0.1533 0.7500
0.0000 0.0000 0.5000
0.1533 0.8467 0.2500
0.3282 0.6718 0.5601
0.6718 0.3282 0.4400
0.3282 0.6718 0.9400
0.3554 0.1583 0.7500
0.6718 0.3282 0.0600
0.6446 0.8417 0.2500
0.8417 0.6446 0.7500
0.1583 0.3554 0.2500
```

Computed properties:
Relative energy among the computed polymorphs ... 195 meV per atom
Space group ... Cmcm, No. 63

***

Entry 4:
Here is Re3Ni10 after structural relaxation from OQMD via LeMat-Bulk. Energies are from PBE.

POSCAR file:
```
Re3Ni10
1.0
2.3172 1.3378 8.2812
-2.3172 1.3378 8.2812
0.0000 -2.6756 8.2812
Ni Re
10 3
Direct
0.1654 0.1654 0.1654
0.5809 0.0873 0.0873
0.9127 0.9127 0.4191
0.4191 0.9127 0.9127
0.0873 0.5809 0.0873
0.4538 0.4538 0.4538
0.8346 0.8346 0.8346
0.0873 0.0873 0.5809
0.9127 0.4191 0.9127
0.5462 0.5462 0.5462
0.0000 0.0000 0.0000
0.3519 0.3519 0.3519
0.6481 0.6481 0.6481
```

Computed properties:
Relative energy among the computed polymorphs ... 42 meV per atom
Space group ... R-3m, No. 166

***

Entry 5:
Here is Re8Ni7 after structural relaxation from OQMD via LeMat-Bulk. Energies are from PBE.

POSCAR file:
```
Re8Ni7
1.0
-3.7757 6.0790 -5.5354
-5.6688 2.4869 6.5978
3.2380 3.3833 1.5069
Re Ni
16 14
Direct
0.4332 0.2347 0.5000
0.3230 0.6770 0.7508
0.7653 0.5668 0.5000
0.1770 0.1770 0.2508
0.6770 0.3230 0.7508
0.0668 0.7347 0.0000
0.5668 0.7653 0.5000
0.2347 0.4332 0.5000
0.1770 0.1770 0.7492
0.6770 0.3230 0.2492
0.8230 0.8230 0.7492
0.8230 0.8230 0.2508
0.3230 0.6770 0.2492
0.9332 0.2653 0.0000
0.7347 0.0668 0.0000
0.2653 0.9332 0.0000
0.6326 0.0389 0.5000
0.6011 0.6011 0.0000
0.0000 0.0000 0.0000
0.3989 0.3989 0.0000
0.8674 0.5389 0.0000
0.5000 0.5000 0.5000
0.0389 0.6326 0.5000
0.3674 0.9611 0.5000
0.5389 0.8674 0.0000
0.8989 0.1011 0.5000
0.9611 0.3674 0.5000
0.1326 0.4611 0.0000
0.4611 0.1326 0.0000
0.1011 0.8989 0.5000
```

Computed properties:
Relative energy among the computed polymorphs ... 141 meV per atom
Space group ... P4_2/mnm, No. 136

***

Entry 6:
Here is Re7Ni6 after structural relaxation from OQMD via LeMat-Bulk. Energies are from PBE.

POSCAR file:
```
Re7Ni6
1.0
2.3359 1.3486 8.7617
-2.3359 1.3486 8.7617
0.0000 -2.6972 8.7617
Re Ni
7 6
Direct
0.0000 0.0000 0.0000
0.8360 0.8360 0.8360
0.5464 0.5464 0.5464
0.3505 0.3505 0.3505
0.6495 0.6495 0.6495
0.4536 0.4536 0.4536
0.1640 0.1640 0.1640
0.5859 0.0900 0.0900
0.9100 0.4141 0.9100
0.0900 0.0900 0.5859
0.0900 0.5859 0.0900
0.9100 0.9100 0.4141
0.4141 0.9100 0.9100
```

Computed properties:
Relative energy among the computed polymorphs ... 0 meV per atom
Space group ... R-3m, No. 166

***

Entry 7:
Here is ReNi2 after structural relaxation from OQMD via LeMat-Bulk. Energies are from PBE.

POSCAR file:
```
ReNi2
1.0
2.2973 -4.3307 0.0000
2.2973 4.3307 0.0000
0.0000 0.0000 7.8265
Ni Re
8 4
Direct
0.6560 0.8315 0.7500
0.6768 0.3232 0.9386
0.8315 0.6560 0.2500
0.6768 0.3232 0.5614
0.3232 0.6768 0.0614
0.3440 0.1685 0.2500
0.1685 0.3440 0.7500
0.3232 0.6768 0.4386
0.0000 0.0000 0.0000
0.0000 0.0000 0.5000
0.8242 0.1758 0.2500
0.1758 0.8242 0.7500
```

Computed properties:
Relative energy among the computed polymorphs ... 304 meV per atom
Space group ... Cmcm, No. 63

***

Entry 8:
Here is Re12Ni after structural relaxation from OQMD via LeMat-Bulk. Energies are from PBE.

POSCAR file:
```
Re12Ni
1.0
2.5138 1.4513 8.8722
-2.5138 1.4513 8.8722
0.0000 -2.9027 8.8722
Re Ni
12 1
Direct
0.5476 0.5476 0.5476
0.0903 0.5876 0.0903
0.4524 0.4524 0.4524
0.4124 0.9097 0.9097
0.9097 0.4124 0.9097
0.6529 0.6529 0.6529
0.8340 0.8340 0.8340
0.9097 0.9097 0.4124
0.3471 0.3471 0.3471
0.1660 0.1660 0.1660
0.0903 0.0903 0.5876
0.5876 0.0903 0.0903
0.0000 0.0000 0.0000
```

Computed properties:
Space group ... R-3m, No. 166

***

Entry 9:
Here is ReNi2 after structural relaxation from OQMD via LeMat-Bulk. Energies are from PBE.

POSCAR file:
```
ReNi2
1.0
-3.7292 -7.3523 -2.8927
2.2369 -4.0503 7.4109
-4.2358 1.3542 2.0187
Ni Re
20 10
Direct
0.3638 0.9590 0.5000
0.6362 0.0410 0.5000
0.2303 0.4335 0.5000
0.5410 0.8638 0.0000
0.1362 0.4590 0.0000
0.7697 0.5665 0.5000
0.4038 0.4038 0.0000
0.0962 0.9038 0.5000
0.9335 0.2697 0.0000
0.7303 0.0665 0.0000
0.0665 0.7303 0.0000
0.5665 0.7697 0.5000
0.0410 0.6362 0.5000
0.2697 0.9335 0.0000
0.9038 0.0962 0.5000
0.4590 0.1362 0.0000
0.8638 0.5410 0.0000
0.4335 0.2303 0.5000
0.5962 0.5962 0.0000
0.9590 0.3638 0.5000
0.6847 0.3153 0.7507
0.6847 0.3153 0.2493
0.3153 0.6847 0.7507
0.5000 0.5000 0.5000
0.1847 0.1847 0.2507
0.8152 0.8152 0.2507
0.0000 0.0000 0.0000
0.1847 0.1847 0.7493
0.3153 0.6847 0.2493
0.8152 0.8152 0.7493
```

Computed properties:
Relative energy among the computed polymorphs ... 111 meV per atom
Space group ... P4_2/mnm, No. 136

***

Entry 10:
Here is Re10Ni3 after structural relaxation from OQMD via LeMat-Bulk. Energies are from PBE.

POSCAR file:
```
Re10Ni3
1.0
3.1352 -2.8254 8.0868
6.4683 -4.4497 4.6443
6.6292 0.3434 6.2565
Re Ni
10 3
Direct
0.8345 0.8345 0.8345
0.5846 0.0931 0.0931
0.1655 0.1655 0.1655
0.0931 0.5846 0.0931
0.5491 0.5491 0.5491
0.9069 0.4154 0.9069
0.4509 0.4509 0.4509
0.9069 0.9069 0.4154
0.0931 0.0931 0.5846
0.4154 0.9069 0.9069
0.6519 0.6519 0.6519
0.3481 0.3481 0.3481
0.0000 0.0000 0.0000
```

Computed properties:
Relative energy among the computed polymorphs ... 73 meV per atom
Space group ... R-3m, No. 166

***

Entry 11:
Here is ReNi2 after structural relaxation from OQMD via LeMat-Bulk. Energies are from PBE.

POSCAR file:
```
ReNi2
1.0
4.6382 0.0000 0.0000
-2.3191 4.0168 0.0000
0.0000 0.0000 15.1077
Re Ni
8 16
Direct
0.0000 0.0000 0.9048
0.3333 0.6667 0.6568
0.3333 0.6667 0.8432
0.0000 0.0000 0.0952
0.6667 0.3333 0.3432
0.6667 0.3333 0.1568
0.0000 0.0000 0.4048
0.0000 0.0000 0.5952
0.8366 0.6733 0.7500
0.8366 0.1634 0.7500
0.1634 0.8366 0.2500
0.5000 0.5000 0.5000
0.5000 0.0000 0.0000
0.1634 0.3267 0.2500
0.3267 0.1634 0.7500
0.5000 0.0000 0.5000
0.6733 0.8366 0.2500
0.0000 0.5000 0.0000
0.3333 0.6667 0.3750
0.6667 0.3333 0.6250
0.3333 0.6667 0.1250
0.0000 0.5000 0.5000
0.5000 0.5000 0.0000
0.6667 0.3333 0.8750
```

Computed properties:
Relative energy among the computed polymorphs ... 3 meV per atom
Space group ... P6_3/mmc, No. 194

***

Entry 12:
Here is ReNi2 after structural relaxation from OQMD via LeMat-Bulk. Energies are from PBE.

POSCAR file:
```
ReNi2
1.0
0.0000 2.7935 2.7935
2.7935 0.0000 2.7935
2.7935 2.7935 0.0000
Ni Re
2 1
Direct
0.2500 0.2500 0.2500
0.7500 0.7500 0.7500
0.0000 0.0000 0.0000
```

Computed properties:
Relative energy among the computed polymorphs ... 721 meV per atom
Space group ... Fm-3m, No. 225

***

Calculated formation energy, 0.097, 0.143, 0.199, 0.124, 0.203, 0.038, 0.344, 0.197, 0.151, 0.264, 0.043, 0.761 eV/atom (same order as the records).
Calculated DFT total energy, -5.707, -7.710, -9.939, -7.026, -9.021, -9.221, -7.509, -11.699, -7.702, -10.577, -7.810, -7.092 eV/atom (same order as the records).
Calculated total magnetization, 14.6, 0.0, 0.0, 1.9, 0.0, 0.1, 0.1, 0.1, 0.0, 0.0, 0.8, 0.5 μB per formula unit (same order as the records).